Density functional theory data (GGA-PBE) for a geometry-optimized TaBeBr2 structure.

Cell: 8.349 8.349 3.669 Å, 77.07 77.07 23.32°
Fractional positions:
Br (0.119, 0.119, 0.882)
Br (0.381, 0.381, 0.618)
Be (0.250, 0.250, 0.250)
Ta (0.750, 0.750, 0.750)

Summary:
Energy relative to the elements, uncorrected   -0.01 eV/atom
Magnetic moment   0.0 Bohr magnetons per cell
Polymorph energy (0 for the lowest one)   104 meV/atom